Record 1
DFT (PBE-GGA) results for PaTePt after structural relaxation.

Summary:
- total magnetization (μB per cell) = 0.00
- DOS at the Fermi energy (states/eV/atom) = 0.871
- energy above the lowest structure with this stoichiometry (eV per atom) = 0.0513
- calculated density (g/cm³) = 11.75

Structure (POSCAR):
```
PaTePt
1.0
9.8395 -1.8537 0.0000
9.8395 1.8537 0.0000
-0.0044 0.0000 4.2900
Pa Te Pt
2 2 2
Direct
0.0891 0.0891 0.2504
0.9109 0.9109 0.7496
0.3235 0.3235 0.2490
0.6765 0.6765 0.7510
0.4597 0.4597 0.2497
0.5403 0.5403 0.7503
```



Record 2
DFT (PBE-GGA) results for PaTePt after structural relaxation.

Summary:
- total magnetization (μB per cell) = 0.82
- DOS at the Fermi energy (states/eV/atom) = 1.521
- energy above the lowest structure with this stoichiometry (eV per atom) = 0.1769
- calculated density (g/cm³) = 12.36

Structure (POSCAR):
```
PaTePt
1.0
4.4670 0.0000 0.0000
-2.2335 3.8685 0.0000
0.0000 0.0000 4.3060
Pa Te Pt
1 1 1
Direct
0.0000 0.0000 0.0000
0.6667 0.3333 0.5503
0.3333 0.6667 0.2745
```



Record 3
DFT (PBE-GGA) results for PaTe2Pt after structural relaxation.

Summary:
- raw total energy (Ry/atom) = -0.4070
- total magnetization (μB per cell) = 0.00
- DOS at the Fermi energy (states/eV/atom) = 1.327
- calculated density (g/cm³) = 9.42

Structure (POSCAR):
```
PaTe2Pt
1.0
1.9327 1.1159 9.2823
-1.9327 1.1159 9.2823
0.0000 -2.2317 9.2823
Pa Te Pt
1 2 1
Direct
0.0000 0.0000 0.0000
0.4083 0.4083 0.4083
0.5917 0.5917 0.5917
0.5000 0.5000 0.5000
```



Record 4
DFT (PBE-GGA) results for PaTePt after structural relaxation.

Summary:
- total magnetization (μB per cell) = 1.27
- DOS at the Fermi energy (states/eV/atom) = 1.066
- energy above the lowest structure with this stoichiometry (eV per atom) = 0.0000
- calculated density (g/cm³) = 12.52

Structure (POSCAR):
```
PaTePt
1.0
4.0751 0.0000 0.0000
0.0000 4.0751 0.0000
0.0000 0.0000 8.8484
Pa Te Pt
2 2 2
Direct
0.2500 0.2500 0.2326
0.7500 0.7500 0.7674
0.2500 0.2500 0.6236
0.7500 0.7500 0.3764
0.2500 0.7500 0.0000
0.7500 0.2500 0.0000
```



Record 5
DFT (PBE-GGA) results for Pa6Te12Pt after structural relaxation.

Summary:
- raw total energy (Ry/atom) = -0.4374
- total magnetization (μB per cell) = 7.96
- DOS at the Fermi energy (states/eV/atom) = 1.890
- calculated density (g/cm³) = 8.27

Structure (POSCAR):
```
Pa6Te12Pt
1.0
6.7650 3.9058 3.9442
-6.7650 3.9058 3.9442
0.0000 -7.8116 3.9442
Pa Te Pt
6 12 1
Direct
0.1350 0.6279 0.8057
0.1943 0.8650 0.3721
0.3721 0.1943 0.8650
0.6279 0.8057 0.1350
0.8057 0.1350 0.6279
0.8650 0.3721 0.1943
0.0561 0.9166 0.6765
0.0834 0.3235 0.9439
0.1872 0.5338 0.4486
0.3235 0.9439 0.0834
0.4486 0.1872 0.5338
0.4662 0.5514 0.8128
0.5338 0.4486 0.1872
0.5514 0.8128 0.4662
0.6765 0.0561 0.9166
0.8128 0.4662 0.5514
0.9166 0.6765 0.0561
0.9439 0.0834 0.3235
0.5000 0.5000 0.5000
```



Record 6
DFT (PBE-GGA) results for Pa2TePt3 after structural relaxation.

Summary:
- raw total energy (Ry/atom) = -0.5360
- total magnetization (μB per cell) = 0.00
- DOS at the Fermi energy (states/eV/atom) = 1.169
- calculated density (g/cm³) = 13.02

Structure (POSCAR):
```
Pa2TePt3
1.0
0.0000 6.6919 6.6919
6.6919 0.0000 6.6919
6.6919 6.6919 0.0000
Pa Te Pt
8 4 12
Direct
0.2466 0.7511 0.7511
0.2489 0.2489 0.2489
0.2489 0.2489 0.7534
0.2489 0.7534 0.2489
0.7511 0.2466 0.7511
0.7511 0.7511 0.2466
0.7511 0.7511 0.7511
0.7534 0.2489 0.2489
0.0000 0.5000 0.5000
0.5000 0.0000 0.5000
0.5000 0.5000 0.0000
0.5000 0.5000 0.5000
0.1093 0.1093 0.6407
0.1093 0.6407 0.1093
0.1093 0.6407 0.6407
0.3593 0.3593 0.8907
0.3593 0.8907 0.3593
0.3593 0.8907 0.8907
0.6407 0.1093 0.1093
0.6407 0.1093 0.6407
0.6407 0.6407 0.1093
0.8907 0.3593 0.3593
0.8907 0.3593 0.8907
0.8907 0.8907 0.3593
```



Record 7
DFT (PBE-GGA) results for Pa3Te2Pt after structural relaxation.

Summary:
- raw total energy (Ry/atom) = -0.5527
- total magnetization (μB per cell) = 0.00
- DOS at the Fermi energy (states/eV/atom) = 2.202
- calculated density (g/cm³) = 11.42

Structure (POSCAR):
```
Pa3Te2Pt
1.0
3.6752 -6.3604 0.0000
3.6752 6.3604 0.0000
-2.4616 0.0000 7.1138
Pa Te Pt
6 4 2
Direct
0.0657 0.4250 0.7739
0.2139 0.2139 0.2160
0.4250 0.0657 0.7739
0.5750 0.9343 0.2261
0.7861 0.7861 0.7840
0.9343 0.5750 0.2261
0.0000 0.0000 0.5000
0.3461 0.6539 0.5000
0.5000 0.5000 0.0000
0.6539 0.3461 0.5000
0.1683 0.8317 0.0000
0.8317 0.1683 0.0000
```



Record 8
DFT (PBE-GGA) results for Pa2Te6Pt after structural relaxation.

Summary:
- raw total energy (Ry/atom) = -0.3945
- total magnetization (μB per cell) = 0.00
- DOS at the Fermi energy (states/eV/atom) = 0.261
- calculated density (g/cm³) = 7.46

Structure (POSCAR):
```
Pa2Te6Pt
1.0
7.1748 0.0000 0.0000
0.0000 7.1748 0.0000
0.0000 0.0000 12.3045
Pa Te Pt
4 12 2
Direct
0.0000 0.0000 0.1686
0.0000 0.0000 0.8314
0.5000 0.5000 0.3314
0.5000 0.5000 0.6686
0.1965 0.1965 0.3476
0.1965 0.1965 0.6524
0.2057 0.2057 0.0000
0.2943 0.7057 0.5000
0.3035 0.6965 0.1524
0.3035 0.6965 0.8476
0.6965 0.3035 0.1524
0.6965 0.3035 0.8476
0.7057 0.2943 0.5000
0.7943 0.7943 0.0000
0.8035 0.8035 0.3476
0.8035 0.8035 0.6524
0.0000 0.0000 0.5000
0.5000 0.5000 0.0000
```



Record 9
DFT (PBE-GGA) results for PaTePt after structural relaxation.

Summary:
- total magnetization (μB per cell) = 0.60
- DOS at the Fermi energy (states/eV/atom) = 1.390
- energy above the lowest structure with this stoichiometry (eV per atom) = 0.2493
- calculated density (g/cm³) = 13.03

Structure (POSCAR):
```
PaTePt
1.0
4.4836 -2.8378 0.0000
4.4836 2.8378 0.0000
-0.0684 0.0000 5.5442
Pa Te Pt
2 2 2
Direct
0.2364 0.2364 0.2462
0.7636 0.7636 0.7538
0.4035 0.4035 0.7479
0.5965 0.5965 0.2521
0.0826 0.0826 0.7493
0.9174 0.9174 0.2507
```



Record 10
DFT (PBE-GGA) results for PaTe4Pt after structural relaxation.

Summary:
- raw total energy (Ry/atom) = -0.3810
- total magnetization (μB per cell) = 0.00
- DOS at the Fermi energy (states/eV/atom) = 0.501
- calculated density (g/cm³) = 8.78

Structure (POSCAR):
```
PaTe4Pt
1.0
4.5199 -7.1605 0.0000
4.5199 7.1605 0.0000
-4.1416 0.0000 5.4696
Pa Te Pt
2 8 2
Direct
0.1338 0.8662 0.7500
0.8662 0.1338 0.2500
0.1208 0.5590 0.3325
0.2261 0.2875 0.7618
0.2875 0.2261 0.2618
0.4410 0.8792 0.1675
0.5590 0.1208 0.8325
0.7125 0.7739 0.7382
0.7739 0.7125 0.2382
0.8792 0.4410 0.6675
0.4182 0.5818 0.2500
0.5818 0.4182 0.7500
```



Record 11
DFT (PBE-GGA) results for Th2PaPt3 after structural relaxation.

Summary:
- raw total energy (Ry/atom) = -0.5976
- total magnetization (μB per cell) = 0.00
- DOS at the Fermi energy (states/eV/atom) = 1.230
- calculated density (g/cm³) = 13.98

Structure (POSCAR):
```
Th2PaPt3
1.0
0.0000 5.8829 13.0770
3.9535 0.0000 13.0770
3.9535 5.8829 0.0000
Th Pa Pt
8 4 12
Direct
0.0424 0.0424 0.2076
0.1242 0.1242 0.6258
0.2076 0.2076 0.0424
0.3742 0.3742 0.8758
0.6258 0.6258 0.1242
0.7924 0.7924 0.9576
0.8758 0.8758 0.3742
0.9576 0.9576 0.7924
0.2912 0.2912 0.4588
0.4588 0.4588 0.2912
0.5412 0.5412 0.7088
0.7088 0.7088 0.5412
0.0399 0.5399 0.2195
0.1358 0.6142 0.6142
0.2195 0.7007 0.0399
0.2993 0.7805 0.4601
0.3858 0.8642 0.8642
0.4601 0.9601 0.2993
0.5399 0.0399 0.7007
0.6142 0.1358 0.1358
0.7007 0.2195 0.5399
0.7805 0.2993 0.9601
0.8642 0.3858 0.3858
0.9601 0.4601 0.7805
```



Record 12
DFT (PBE-GGA) results for Th2PaPt9 after structural relaxation.

Summary:
- raw total energy (Ry/atom) = -0.5573
- total magnetization (μB per cell) = 0.77
- DOS at the Fermi energy (states/eV/atom) = 0.692
- calculated density (g/cm³) = 18.04

Structure (POSCAR):
```
Th2PaPt9
1.0
4.2330 0.0000 0.0000
0.0000 4.2330 0.0000
0.0000 0.0000 12.5878
Th Pa Pt
2 1 9
Direct
0.0000 0.0000 0.1682
0.0000 0.0000 0.8318
0.0000 0.0000 0.5000
0.0000 0.5000 0.0000
0.0000 0.5000 0.3377
0.0000 0.5000 0.6623
0.5000 0.0000 0.0000
0.5000 0.0000 0.3377
0.5000 0.0000 0.6623
0.5000 0.5000 0.1681
0.5000 0.5000 0.5000
0.5000 0.5000 0.8319
```